# 1
## La2TbPm3Er6 (PBE-GGA)

Data for an optimized crystal structure of La2TbPm3Er6.

a b c (Å): 6.2292 6.2292 11.7815
angles (deg): 95.04 95.04 119.99
Closest atoms and distances in Å follow each position.
Sites, in units of the cell vectors:
La (0.1664, 0.8336, 0.0000)  6 Er 3.58, 3 La 3.59-3.60, 3 Tb 3.60
La (0.8336, 0.1664, 0.0000)  6 Er 3.58, 3 La 3.59-3.60, 3 Tb 3.60
Tb (0.5000, 0.5000, 0.0000)  6 Er 3.58, 6 La 3.60
Pm (0.0000, 0.0000, 0.5000)  6 Er 3.55, 6 Pm 3.60
Pm (0.3334, 0.6666, 0.5000)  6 Er 3.55-3.56, 6 Pm 3.60
Pm (0.6666, 0.3334, 0.5000)  6 Er 3.55-3.56, 6 Pm 3.60
Er (0.0836, 0.4160, 0.7485)  3 Pm 3.55-3.56, 1 Tb 3.58, 2 La 3.58, 6 Er 3.59-3.60
Er (0.2517, 0.2517, 0.2516)  3 Pm 3.55, 1 Tb 3.58, 2 La 3.58, 6 Er 3.59-3.60
Er (0.4160, 0.0836, 0.7485)  3 Pm 3.55-3.56, 1 Tb 3.58, 2 La 3.58, 6 Er 3.59-3.60
Er (0.5840, 0.9164, 0.2515)  3 Pm 3.55-3.56, 1 Tb 3.58, 2 La 3.58, 6 Er 3.59-3.60
Er (0.7483, 0.7483, 0.7484)  3 Pm 3.55, 1 Tb 3.58, 2 La 3.58, 6 Er 3.59-3.60
Er (0.9164, 0.5840, 0.2515)  3 Pm 3.55-3.56, 1 Tb 3.58, 2 La 3.58, 6 Er 3.59-3.60

Values from the calculation:
The energy of formation from the pure elements comes out at 16.4 meV/atom.

=====

# 2
## SmY7Sc4 (PBE-GGA)

Data for an optimized crystal structure of SmY7Sc4.

a b c (Å): 6.4007 6.5092 8.9583
angles (deg): 90.03 103.79 95.58
Closest atoms and distances in Å follow each position.
Sites, in units of the cell vectors:
Sm (0.0000, 0.0000, 0.0000)  4 Y 3.25-3.49, 2 Sc 3.32
Y (0.0000, 0.5000, 0.0000)  4 Sc 3.20-3.56, 2 Sm 3.25, 2 Y 3.47
Y (0.1950, 0.8665, 0.5971)  5 Sc 3.22-3.45, 4 Y 3.32-3.54
Y (0.2999, 0.3286, 0.3709)  5 Sc 3.34-3.67, 6 Y 3.37-3.72
Y (0.4802, 0.7450, 0.9441)  4 Sc 3.31-3.64, 5 Y 3.35-3.49, 1 Sm 3.49
Y (0.5198, 0.2550, 0.0559)  4 Sc 3.31-3.64, 5 Y 3.35-3.49, 1 Sm 3.49
Y (0.7001, 0.6714, 0.6291)  5 Sc 3.34-3.67, 6 Y 3.37-3.72
Y (0.8050, 0.1335, 0.4029)  5 Sc 3.22-3.45, 4 Y 3.32-3.54
Sc (0.1590, 0.3582, 0.7069)  7 Y 3.20-3.52, 2 Sc 3.31-3.52
Sc (0.3730, 0.8251, 0.2821)  7 Y 3.22-3.56, 2 Sc 3.31-3.52, 1 Sm 3.32
Sc (0.6270, 0.1749, 0.7179)  7 Y 3.22-3.56, 2 Sc 3.31-3.52, 1 Sm 3.32
Sc (0.8410, 0.6418, 0.2931)  7 Y 3.20-3.52, 2 Sc 3.31-3.52

Values from the calculation:
The energy of formation from the pure elements comes out at 108.4 meV/atom.

=====

# 3
## ZnB2Ru5W2 (PBE-GGA)

Data for an optimized crystal structure of ZnB2Ru5W2.

a b c (Å): 9.3270 9.3270 2.9137
angles (deg): 90.00 90.00 90.00
Closest atoms and distances in Å follow each position.
Sites, in units of the cell vectors:
Zn (0.0000, 0.0000, 0.0000)  8 Ru 2.58
Zn (0.5000, 0.5000, 0.0000)  8 Ru 2.58
B (0.1261, 0.3739, 0.0000)  6 Ru 2.13-2.21
B (0.3739, 0.8739, 0.0000)  6 Ru 2.13-2.21
B (0.6261, 0.1261, 0.0000)  6 Ru 2.13-2.21
B (0.8739, 0.6261, 0.0000)  6 Ru 2.13-2.21
Ru (0.0000, 0.5000, 0.5000)  4 B 2.21
Ru (0.0679, 0.2173, 0.5000)  2 B 2.13
Ru (0.2173, 0.9321, 0.5000)  2 B 2.13
Ru (0.2827, 0.4321, 0.5000)  2 B 2.13
Ru (0.4321, 0.7173, 0.5000)  2 B 2.13
Ru (0.5000, 0.0000, 0.5000)  4 B 2.21
Ru (0.5679, 0.2827, 0.5000)  2 B 2.13
Ru (0.7173, 0.5679, 0.5000)  2 B 2.13
Ru (0.7827, 0.0679, 0.5000)  2 B 2.13
Ru (0.9321, 0.7827, 0.5000)  2 B 2.13
W (0.1785, 0.6785, 0.0000)  3 B 2.58-2.88, 6 Ru 2.77-2.80
W (0.3215, 0.1785, 0.0000)  3 B 2.58-2.88, 6 Ru 2.77-2.80
W (0.6785, 0.8215, 0.0000)  3 B 2.58-2.88, 6 Ru 2.77-2.80
W (0.8215, 0.3215, 0.0000)  3 B 2.58-2.88, 6 Ru 2.77-2.80

Values from the calculation:
The energy of formation from the pure elements comes out at -230.4 meV/atom.

=====

# 4
## SrMgPd2F8 (PBE-GGA)

Data for an optimized crystal structure of SrMgPd2F8.

a b c (Å): 5.3243 5.3243 6.9663
angles (deg): 90.00 90.00 120.00
Closest atoms and distances in Å follow each position.
Sites, in units of the cell vectors:
Sr (0.0000, 0.0000, 0.0000)  6 F 2.72
Mg (0.0000, 0.0000, 0.5000)  6 F 1.97
Pd (0.3333, 0.6667, 0.6619)  4 F 2.08-2.18
Pd (0.6667, 0.3333, 0.3381)  4 F 2.08-2.18
F (0.0672, 0.7512, 0.3232)  1 Mg 1.97, 1 Pd 2.18
F (0.2488, 0.3160, 0.3232)  1 Mg 1.97, 1 Pd 2.18
F (0.3160, 0.0672, 0.6768)  1 Mg 1.97, 1 Pd 2.18
F (0.3333, 0.6667, 0.9603)  1 Pd 2.08
F (0.6667, 0.3333, 0.0397)  1 Pd 2.08
F (0.6840, 0.9328, 0.3232)  1 Mg 1.97, 1 Pd 2.18
F (0.7512, 0.6840, 0.6768)  1 Mg 1.97, 1 Pd 2.18
F (0.9328, 0.2488, 0.6768)  1 Mg 1.97, 1 Pd 2.18

Values from the calculation:
The calculation puts the raw formation energy at -25.6 eV/f.u.

=====

# 5
## Cu2TcBr (PBE-GGA)

Data for an optimized crystal structure of Cu2TcBr.

a b c (Å): 8.8281 8.8281 8.8281
angles (deg): 18.93 18.93 18.93
Closest atoms and distances in Å follow each position.
Sites, in units of the cell vectors:
Cu (0.2442, 0.2442, 0.2442)  3 Tc 2.62, 3 Br 2.86, 6 Cu 2.90
Cu (0.7558, 0.7558, 0.7558)  3 Tc 2.62, 3 Br 2.86, 6 Cu 2.90
Tc (0.5000, 0.5000, 0.5000)  6 Cu 2.62, 6 Tc 2.90
Br (0.0000, 0.0000, 0.0000)  6 Cu 2.86, 6 Br 2.90

Values from the calculation:
The calculation puts the raw formation energy at 2.3 eV/f.u. The excess energy over the best structure of this formula in the dataset is 50 meV/atom.

=====

# 6
## OsSe2Cl (PBE-GGA)

Data for an optimized crystal structure of OsSe2Cl.

a b c (Å): 4.6089 4.6089 4.6089
angles (deg): 60.00 60.00 60.00
Closest atoms and distances in Å follow each position.
Sites, in units of the cell vectors:
Os (0.0000, 0.0000, 0.0000)  4 Se 2.82, 4 Cl 2.82
Se (0.5000, 0.5000, 0.5000)  4 Se 2.82, 4 Cl 2.82
Se (0.7500, 0.7500, 0.7500)  4 Se 2.82, 4 Os 2.82
Cl (0.2500, 0.2500, 0.2500)  4 Se 2.82, 4 Os 2.82

Values from the calculation:
The calculation puts the raw formation energy at 4.4 eV/f.u. The excess energy over the best structure of this formula in the dataset is 1108 meV/atom.